Below is an optimized crystal structure of TlPb, with properties calculated at the GGA-PBEsol level.

Summary:
Energy of formation from the pure elements: 29 meV/atom
Crystal system: orthorhombic
DFT total energy: -3.29 eV/atom
Symmetry: No. 63

Cell: 6.898 6.898 5.216 Å, 90.00 90.00 152.02°
Fractional positions:
Tl 0.067 0.933 0.750
Tl 0.933 0.067 0.250
Pb 0.316 0.684 0.750
Pb 0.684 0.316 0.250


Below is an optimized crystal structure of SrHgOs2, with properties calculated at the GGA-PBEsol level.

Summary:
Energy of formation from the pure elements: 717 meV/atom
Crystal system: orthorhombic
DFT total energy: -5.99 eV/atom
Symmetry: No. 44

Cell: 5.164 5.164 5.164 Å, 132.57 120.08 79.77°
Fractional positions:
Sr 0.000 0.000 0.000
Hg 0.288 0.788 0.500
Os 0.558 0.558 0.000
Os 0.703 0.203 0.500


Below is an optimized crystal structure of LaSeBr2, with properties calculated at the GGA-PBEsol level.

Summary:
Crystal system: tetragonal
DFT total energy: -4.30 eV/atom
Symmetry: No. 123
Formation energy from raw total energies: -1068 meV per atom

Cell: 3.909 3.909 6.706 Å, 90.00 90.00 90.00°
Fractional positions:
La 0.000 0.000 0.000
Se 0.000 0.000 0.500
Br 0.500 0.500 0.230
Br 0.500 0.500 0.770


Below is an optimized crystal structure of MgSi2Pt, with properties calculated at the GGA-PBEsol level.

Summary:
Crystal system: orthorhombic
DFT total energy: -5.28 eV/atom
Symmetry: No. 71
Formation energy from raw total energies: -235 meV per atom

Cell: 5.684 5.684 5.684 Å, 152.04 131.64 56.78°
Fractional positions:
Mg 0.000 0.000 0.000
Si 0.285 0.785 0.500
Si 0.715 0.215 0.500
Pt 0.500 0.500 0.000


Question: What is the DFT total energy in the first record?
Answer: -3.29 eV/atom


Question: The highest DFT total energy belongs to which entry?
Answer: TlPb


Question: The highest DFT total energy belongs to which entry?
Answer: TlPb


What did the first record say?
Below is an optimized crystal structure of TlPb, with properties calculated at the GGA-PBEsol level.

Summary:
Energy of formation from the pure elements: 29 meV/atom
Crystal system: orthorhombic
DFT total energy: -3.29 eV/atom
Symmetry: No. 63

Cell: 6.898 6.898 5.216 Å, 90.00 90.00 152.02°
Fractional positions:
Tl 0.067 0.933 0.750
Tl 0.933 0.067 0.250
Pb 0.316 0.684 0.750
Pb 0.684 0.316 0.250